# LaRhSe2Br

A relaxed LaRhSe2Br crystal (PBE, Alexandria).

ΔE to the lowest computed polymorph ... 905 meV per atom
Crystal system ... tetragonal
Formation energy without anion corrections ... 47 meV/atom
Density of states at the Fermi level ... 7.179 states/eV per cell

a = 5.7757 Å, b = 5.7757 Å, c = 5.7090 Å
α = 90.00°, β = 90.00°, γ = 90.00°
Each line ends with the local moment (μB).
Element x y z (fractional)
Rh  0.5000  0.5000  0.5000  1.72
Se  0.0000  0.5000  0.0000  0.18
Se  0.5000  0.0000  0.0000  0.18
Br  0.0000  0.0000  0.5000  0.02
La  0.0000  0.0000  0.0000  0.01

=====

# TcCN2O

A relaxed TcCN2O crystal (PBE, Alexandria).

Crystal system ... tetragonal
Formation energy without anion corrections ... 1726 meV/atom
Density of states at the Fermi level ... 2.726 states/eV per cell

a = 3.3640 Å, b = 3.3640 Å, c = 3.4352 Å
α = 90.00°, β = 90.00°, γ = 90.00°
Each line ends with the local moment (μB).
Element x y z (fractional)
C  0.0000  0.0000  0.0000  0.01
Tc  0.5000  0.5000  0.5000  1.22
O  0.0000  0.0000  0.5000  -0.03
N  0.0000  0.5000  0.0000  -0.07
N  0.5000  0.0000  0.0000  -0.07

=====

# K2CuC2O6

A relaxed K2CuC2O6 crystal (PBE, Alexandria).

ΔE to the lowest computed polymorph ... 11 meV per atom
Crystal system ... monoclinic
Formation energy without anion corrections ... -1464 meV/atom
Density of states at the Fermi level ... 1.389 states/eV per cell

a = 4.9354 Å, b = 6.2972 Å, c = 6.3783 Å
α = 115.86°, β = 90.00°, γ = 113.07°
Each line ends with the local moment (μB).
Element x y z (fractional)
K  0.6937  0.3873  0.1968  0.00
K  0.3063  0.6127  0.8032  0.00
Cu  0.5000  0.0000  0.5000  -0.14
C  0.9971  0.9943  0.7221  0.00
C  0.0029  0.0057  0.2779  0.00
O  0.8777  0.7553  0.6714  0.00
O  0.1597  0.8693  0.2472  -0.02
O  0.2904  0.1307  0.7528  -0.02
O  0.8403  0.1307  0.7528  -0.02
O  0.7096  0.8693  0.2472  -0.02
O  0.1223  0.2447  0.3286  0.00

=====

# TlB

A relaxed TlB crystal (PBE, Alexandria).

DFT formation energy ... 1.47 eV/atom
ΔE to the lowest computed polymorph ... 986 meV per atom
Crystal system ... cubic
Density of states at the Fermi level ... 2.967 states/eV per cell

a = 5.1862 Å, b = 5.1862 Å, c = 5.1862 Å
α = 90.00°, β = 90.00°, γ = 90.00°
Element x y z (fractional)
Tl  0.5000  0.5000  0.5000
Tl  0.5000  0.0000  0.0000
Tl  0.0000  0.5000  0.0000
Tl  0.0000  0.0000  0.5000
B  0.0000  0.0000  0.0000
B  0.0000  0.5000  0.5000
B  0.5000  0.0000  0.5000
B  0.5000  0.5000  0.0000

=====

# SmHo4Tl7

A relaxed SmHo4Tl7 crystal (PBE, Alexandria).

DFT formation energy ... -0.10 eV/atom
Crystal system ... monoclinic
Density of states at the Fermi level ... 7.024 states/eV per cell

a = 5.7163 Å, b = 9.9041 Å, c = 7.2852 Å
α = 81.55°, β = 66.90°, γ = 73.23°
Element x y z (fractional)
Sm  0.0000  0.0000  0.0000
Ho  0.5851  0.2171  0.6127
Ho  0.4149  0.7829  0.3873
Ho  0.7197  0.6718  0.8889
Ho  0.2803  0.3282  0.1111
Tl  0.7855  0.8953  0.5338
Tl  0.2145  0.1047  0.4662
Tl  0.0803  0.6715  0.1678
Tl  0.9197  0.3285  0.8322
Tl  0.3656  0.5452  0.7236
Tl  0.5000  0.0000  0.0000
Tl  0.6344  0.4548  0.2764

=====

# BeRuPb2

A relaxed BeRuPb2 crystal (PBE, Alexandria).

DFT formation energy ... 0.65 eV/atom
ΔE to the lowest computed polymorph ... 478 meV per atom
Crystal system ... monoclinic
Density of states at the Fermi level ... 2.465 states/eV per cell

a = 3.4456 Å, b = 3.4222 Å, c = 7.0009 Å
α = 71.94°, β = 90.00°, γ = 90.00°
Element x y z (fractional)
Pb  0.0000  0.9360  0.0030
Pb  0.0000  0.5640  0.4970
Ru  0.5000  0.2500  0.2500
Be  0.5000  0.7500  0.7500

=====

# Sm2Dy2HoSc

A relaxed Sm2Dy2HoSc crystal (PBE, Alexandria).

DFT formation energy ... 0.09 eV/atom
Crystal system ... orthorhombic
Density of states at the Fermi level ... 19.004 states/eV per cell

a = 5.5745 Å, b = 6.8547 Å, c = 9.6401 Å
α = 90.00°, β = 90.00°, γ = 90.00°
Element x y z (fractional)
Sm  0.5000  0.0076  0.9998
Sm  0.0000  0.2575  0.1858
Sm  0.5000  0.5076  0.0002
Sm  0.0000  0.7575  0.8142
Dy  0.0000  0.2577  0.8375
Dy  0.5000  0.2575  0.3308
Dy  0.0000  0.7577  0.1625
Dy  0.5000  0.7575  0.6692
Ho  0.5000  0.2576  0.6527
Ho  0.5000  0.7576  0.3473
Sc  0.0000  0.0076  0.5001
Sc  0.0000  0.5076  0.4999

=====

# YMgPdO4

A relaxed YMgPdO4 crystal (PBE, Alexandria).

Crystal system ... orthorhombic
Formation energy without anion corrections ... -2030 meV/atom
Density of states at the Fermi level ... 2.894 states/eV per cell

a = 6.5096 Å, b = 6.3332 Å, c = 6.6575 Å
α = 121.71°, β = 90.00°, γ = 120.93°
Each line ends with the local moment (μB).
Element x y z (fractional)
Y  0.5000  0.0000  0.5000  0.00
Y  0.5000  0.0000  0.0000  0.00
Mg  0.8937  0.7874  0.1437  0.01
Mg  0.1063  0.2126  0.8563  0.01
Pd  0.5000  0.5000  0.5000  0.48
Pd  0.0000  0.5000  0.5000  0.48
O  0.7647  0.5295  0.7478  0.15
O  0.2739  0.0181  0.2591  0.00
O  0.7442  0.0181  0.2591  0.00
O  0.7647  0.5295  0.2817  0.15
O  0.2353  0.4705  0.7183  0.15
O  0.7261  0.9819  0.7409  0.00
O  0.2558  0.9819  0.7409  0.00
O  0.2353  0.4705  0.2522  0.15

=====

# Ce15In4Pb

A relaxed Ce15In4Pb crystal (PBE, Alexandria).

DFT formation energy ... -0.21 eV/atom
Crystal system ... tetragonal
Density of states at the Fermi level ... 61.212 states/eV per cell

a = 4.8188 Å, b = 4.8188 Å, c = 24.0227 Å
α = 90.00°, β = 90.00°, γ = 90.00°
Each line ends with the local moment (μB).
Element x y z (fractional)
Ce  0.5000  0.5000  0.0000  0.80
Ce  0.5000  0.5000  0.2017  0.81
Ce  0.5000  0.5000  0.3998  0.81
Ce  0.5000  0.5000  0.6002  0.81
Ce  0.5000  0.5000  0.7983  0.81
Ce  0.5000  0.0000  0.1009  0.81
Ce  0.5000  0.0000  0.3003  0.80
Ce  0.5000  0.0000  0.5000  0.81
Ce  0.5000  0.0000  0.6997  0.80
Ce  0.5000  0.0000  0.8991  0.81
Ce  0.0000  0.5000  0.1009  0.81
Ce  0.0000  0.5000  0.3003  0.80
Ce  0.0000  0.5000  0.5000  0.81
Ce  0.0000  0.5000  0.6997  0.80
Ce  0.0000  0.5000  0.8991  0.81
In  0.0000  0.0000  0.2006  -0.01
In  0.0000  0.0000  0.4002  -0.01
In  0.0000  0.0000  0.5998  -0.01
In  0.0000  0.0000  0.7994  -0.01
Pb  0.0000  0.0000  0.0000  -0.02

=====

# SrErTl4

A relaxed SrErTl4 crystal (PBE, Alexandria).

DFT formation energy ... -0.08 eV/atom
ΔE to the lowest computed polymorph ... 156 meV per atom
Crystal system ... cubic
Density of states at the Fermi level ... 7.298 states/eV per cell

a = 6.3629 Å, b = 6.3629 Å, c = 6.3629 Å
α = 60.00°, β = 60.00°, γ = 60.00°
Element x y z (fractional)
Sr  0.2500  0.2500  0.2500
Tl  0.6254  0.6254  0.1239
Tl  0.6254  0.1239  0.6254
Tl  0.6254  0.6254  0.6254
Tl  0.1239  0.6254  0.6254
Er  0.0000  0.0000  0.0000

=====

# ScTlOs2

A relaxed ScTlOs2 crystal (PBE, Alexandria).

DFT formation energy ... 0.51 eV/atom
Crystal system ... orthorhombic
Density of states at the Fermi level ... 4.130 states/eV per cell

a = 2.8795 Å, b = 2.8795 Å, c = 9.5253 Å
α = 90.00°, β = 90.00°, γ = 114.98°
Element x y z (fractional)
Os  0.0000  0.0000  0.0222
Os  0.0000  0.0000  0.4778
Sc  0.5000  0.5000  0.2500
Tl  0.5000  0.5000  0.7500

=====

# ErLu

A relaxed ErLu crystal (PBE, Alexandria).

DFT formation energy ... 0.05 eV/atom
ΔE to the lowest computed polymorph ... 0 meV per atom
Crystal system ... monoclinic
Density of states at the Fermi level ... 7.448 states/eV per cell

a = 3.4428 Å, b = 6.6617 Å, c = 5.3861 Å
α = 90.00°, β = 90.00°, γ = 75.13°
Element x y z (fractional)
Lu  0.4344  0.1319  0.2500
Lu  0.5656  0.8681  0.7500
Er  0.1702  0.6580  0.2500
Er  0.8298  0.3420  0.7500

=====

# CoMoCl2

A relaxed CoMoCl2 crystal (PBE, Alexandria).

ΔE to the lowest computed polymorph ... 948 meV per atom
Crystal system ... tetragonal
Formation energy without anion corrections ... 762 meV/atom
Density of states at the Fermi level ... 4.688 states/eV per cell

a = 4.3819 Å, b = 4.3819 Å, c = 3.0781 Å
α = 90.00°, β = 90.00°, γ = 89.94°
Each line ends with the local moment (μB).
Element x y z (fractional)
Mo  0.0000  0.5000  0.5000  1.38
Co  0.5000  0.0000  0.5000  1.75
Cl  0.0000  0.0000  0.0000  0.07
Cl  0.5000  0.5000  0.0000  0.07

=====

# K8NbO6

A relaxed K8NbO6 crystal (PBE, Alexandria).

Crystal system ... orthorhombic
Formation energy without anion corrections ... -1507 meV/atom
Density of states at the Fermi level ... 4.752 states/eV per cell

a = 7.9756 Å, b = 7.5017 Å, c = 13.8216 Å
α = 90.00°, β = 90.00°, γ = 90.00°
Element x y z (fractional)
K  0.6339  0.0000  0.9679
K  0.3661  0.5000  0.4679
K  0.0619  0.7617  0.1325
K  0.9381  0.7383  0.6325
K  0.9381  0.2617  0.6325
K  0.0619  0.2383  0.1325
K  0.4172  0.7558  0.7113
K  0.5828  0.7442  0.2113
K  0.5828  0.2558  0.2113
K  0.4172  0.2442  0.7113
K  0.0772  0.7930  0.8759
K  0.9228  0.7070  0.3759
K  0.9228  0.2930  0.3759
K  0.0772  0.2070  0.8759
K  0.2170  0.0000  0.5277
K  0.7830  0.5000  0.0277
Nb  0.6355  0.0000  0.4742
Nb  0.3645  0.5000  0.9742
O  0.9466  0.0000  0.0112
O  0.0534  0.5000  0.5112
O  0.1752  0.0000  0.7194
O  0.8248  0.5000  0.2194
O  0.8645  0.0000  0.5111
O  0.1355  0.5000  0.0111
O  0.6445  0.0000  0.3378
O  0.3555  0.5000  0.8378
O  0.4760  0.7014  0.0238
O  0.5240  0.7986  0.5238
O  0.5240  0.2014  0.5238
O  0.4760  0.2986  0.0238

=====

# Pm4YNi4

A relaxed Pm4YNi4 crystal (PBE, Alexandria).

DFT formation energy ... -0.20 eV/atom
Crystal system ... tetragonal
Density of states at the Fermi level ... 15.959 states/eV per cell

a = 5.8678 Å, b = 8.5688 Å, c = 8.5688 Å
α = 90.00°, β = 90.00°, γ = 90.00°
Element x y z (fractional)
Pm  0.4010  0.3090  0.9144
Pm  0.9010  0.5856  0.8090
Pm  0.4010  0.6910  0.0856
Pm  0.0990  0.1910  0.5856
Pm  0.5990  0.9144  0.6910
Pm  0.0990  0.8090  0.4144
Pm  0.9010  0.4144  0.1910
Pm  0.5990  0.0856  0.3090
Y  0.0000  0.0000  0.0000
Y  0.5000  0.5000  0.5000
Ni  0.6189  0.7732  0.3687
Ni  0.6189  0.2268  0.6313
Ni  0.1189  0.8687  0.7268
Ni  0.8811  0.2732  0.8687
Ni  0.8811  0.7268  0.1313
Ni  0.3811  0.3687  0.2268
Ni  0.3811  0.6313  0.7732
Ni  0.1189  0.1313  0.2732

=====

# EuGa2Cl4

A relaxed EuGa2Cl4 crystal (PBE, Alexandria).

Crystal system ... tetragonal
Formation energy without anion corrections ... -1330 meV/atom

a = 5.6940 Å, b = 5.6940 Å, c = 8.3362 Å
α = 109.97°, β = 109.97°, γ = 90.00°
Each line ends with the local moment (μB).
Element x y z (fractional)
Eu  0.0000  0.0000  0.0000  6.85
Ga  0.6334  0.6334  0.2667  0.01
Ga  0.3666  0.3666  0.7333  0.01
Cl  0.8058  0.8058  0.6115  -0.01
Cl  0.1942  0.1942  0.3885  -0.01
Cl  0.0000  0.5000  0.0000  -0.01
Cl  0.5000  0.0000  0.0000  -0.01

=====

# LiInSnOs

A relaxed LiInSnOs crystal (PBE, Alexandria).

DFT formation energy ... 0.03 eV/atom
Crystal system ... cubic
Density of states at the Fermi level ... 2.794 states/eV per cell

a = 4.6276 Å, b = 4.6276 Å, c = 4.6276 Å
α = 60.00°, β = 60.00°, γ = 60.00°
Element x y z (fractional)
Li  0.2500  0.2500  0.2500
Os  0.7500  0.7500  0.7500
Sn  0.5000  0.5000  0.5000
In  0.0000  0.0000  0.0000

=====

# KBa3I

A relaxed KBa3I crystal (PBE, Alexandria).

ΔE to the lowest computed polymorph ... 598 meV per atom
Crystal system ... cubic
Formation energy without anion corrections ... 281 meV/atom
Density of states at the Fermi level ... 7.904 states/eV per cell

a = 7.2038 Å, b = 7.2038 Å, c = 7.2038 Å
α = 90.00°, β = 90.00°, γ = 90.00°
Each line ends with the local moment (μB).
Element x y z (fractional)
I  0.5000  0.5000  0.5000  0.01
K  0.0000  0.0000  0.0000  0.06
Ba  0.0000  0.5000  0.0000  0.20
Ba  0.0000  0.0000  0.5000  0.18
Ba  0.5000  0.0000  0.0000  0.18

=====

# LiCd2In2Hg7

A relaxed LiCd2In2Hg7 crystal (PBE, Alexandria).

DFT formation energy ... -0.04 eV/atom
Crystal system ... monoclinic
Density of states at the Fermi level ... 3.451 states/eV per cell

a = 4.6741 Å, b = 4.6741 Å, c = 15.2698 Å
α = 71.44°, β = 71.44°, γ = 83.83°
Element x y z (fractional)
Li  0.0000  0.0000  0.0000
Cd  0.8151  0.8151  0.6875
Cd  0.1849  0.1849  0.3125
In  0.6681  0.6681  0.3203
In  0.3319  0.3319  0.6797
Hg  0.5000  0.5000  0.0000
Hg  0.2315  0.2315  0.5025
Hg  0.7685  0.7685  0.4975
Hg  0.8466  0.3416  0.1518
Hg  0.3416  0.8466  0.1518
Hg  0.6584  0.1534  0.8482
Hg  0.1534  0.6584  0.8482

=====

# ZnGe2Au2

A relaxed ZnGe2Au2 crystal (PBE, Alexandria).

DFT formation energy ... 0.10 eV/atom
ΔE to the lowest computed polymorph ... 0 meV per atom
Crystal system ... tetragonal
Density of states at the Fermi level ... 4.654 states/eV per cell

a = 7.0651 Å, b = 7.0651 Å, c = 3.8797 Å
α = 90.00°, β = 90.00°, γ = 90.00°
Element x y z (fractional)
Ge  0.1548  0.6548  0.5000
Ge  0.6548  0.8452  0.5000
Ge  0.8452  0.3452  0.5000
Ge  0.3452  0.1548  0.5000
Au  0.3487  0.8487  0.0000
Au  0.8487  0.6513  0.0000
Au  0.6513  0.1513  0.0000
Au  0.1513  0.3487  0.0000
Zn  0.0000  0.0000  0.0000
Zn  0.5000  0.5000  0.0000

=====

# Sc2InGaFe

A relaxed Sc2InGaFe crystal (PBE, Alexandria).

DFT formation energy ... 0.01 eV/atom
Crystal system ... tetragonal
Density of states at the Fermi level ... 4.337 states/eV per cell

a = 4.7157 Å, b = 4.9270 Å, c = 4.7157 Å
α = 90.00°, β = 90.00°, γ = 90.00°
Element x y z (fractional)
Sc  0.0000  0.0000  0.5000
Sc  0.5000  0.0000  0.0000
Fe  0.0000  0.0000  0.0000
Ga  0.5000  0.5000  0.5000
In  0.0000  0.5000  0.0000

=====

# Hf2FePd

A relaxed Hf2FePd crystal (PBE, Alexandria).

DFT formation energy ... -0.48 eV/atom
Crystal system ... tetragonal
Density of states at the Fermi level ... 2.972 states/eV per cell

a = 3.1634 Å, b = 3.1634 Å, c = 6.7823 Å
α = 90.00°, β = 90.00°, γ = 90.00°
Each line ends with the local moment (μB).
Element x y z (fractional)
Hf  0.0000  0.0000  0.7706  -0.13
Hf  0.0000  0.0000  0.2294  -0.13
Fe  0.5000  0.5000  0.0000  0.93
Pd  0.5000  0.5000  0.5000  0.00

=====

# TmGa2Tc2

A relaxed TmGa2Tc2 crystal (PBE, Alexandria).

DFT formation energy ... -0.37 eV/atom
Crystal system ... monoclinic
Density of states at the Fermi level ... 5.291 states/eV per cell

a = 4.2235 Å, b = 4.1250 Å, c = 11.1073 Å
α = 100.80°, β = 100.96°, γ = 90.00°
Element x y z (fractional)
Tm  0.3520  0.5892  0.7039
Tm  0.6480  0.4108  0.2961
Ga  0.2277  0.8781  0.4555
Ga  0.7723  0.1219  0.5445
Ga  0.8893  0.1345  0.7786
Ga  0.1107  0.8655  0.2214
Tc  0.0341  0.2849  0.0683
Tc  0.4659  0.2169  0.9318
Tc  0.9659  0.7151  0.9317
Tc  0.5341  0.7831  0.0682

=====

Calculated values (eV/atom) of raw total energy for the records, taken in order: -4.137, -6.514, -6.417, -3.048, -3.402, -4.457, -4.831, -6.756, -5.392, -2.696, -7.276, -4.493, -4.645, -4.747, -5.596, -4.718, -4.938, -1.402, -0.982, -3.309, -5.365, -8.872, -6.621.
Calculated values (g/cm3) of ρ for the records, taken in order: 4.18, 6.58, 2.71, 10.25, 10.25, 11.10, 7.53, 5.06, 8.24, 9.78, 14.61, 9.52, 6.34, 2.01, 6.97, 3.04, 10.21, 2.57, 10.33, 10.37, 5.01, 12.70, 8.98.
Calculated values (μB/f.u.) of size of the total moment for the records, taken in order: 2.53, 1.15, 0.22, 0.00, 0.00, 0.00, 0.00, 0.86, 15.28, 0.00, 0.00, 0.00, 3.42, 0.64, 0.00, 7.00, 0.00, 2.31, 0.00, 0.00, 0.00, 0.62, 0.00.